1.
Crystalline LiZr2HPt at its relaxed geometry. Source: Alexandria via LeMat-Bulk, functional GGA-PBE.

Symmetry: P4/mmm
Energy (eV per atom): -6.193
Calculated density (g/cm³): 8.56

Cell: 4.4355 4.4355 3.7994 Å, 90.00 90.00 90.00°
With the nearest neighbours (Å) after each atom.
Positions (direct):
Li (0.0000, 0.0000, 0.0000)  2 H 1.90
Zr (0.0000, 0.5000, 0.5000)  2 H 2.22
Zr (0.5000, 0.0000, 0.5000)  2 H 2.22
H (0.0000, 0.0000, 0.5000)  2 Li 1.90
Pt (0.5000, 0.5000, 0.0000)  8 Zr 2.92, 4 Li 3.14

=====

2.
Crystalline Li2PuH4 at its relaxed geometry. Source: Alexandria via LeMat-Bulk, functional GGA-PBE.

Symmetry: I4/mmm
Energy (eV per atom): -4.486
Calculated density (g/cm³): 4.13

Cell: 6.6297 6.6297 6.6297 Å, 142.93 142.93 53.44°
With the nearest neighbours (Å) after each atom.
Positions (direct):
Li (0.1681, 0.1681, 0.0000)  1 H 1.75
Li (0.8319, 0.8319, 0.0000)  1 H 1.75
Pu (0.5000, 0.5000, 0.0000)  6 H 2.11-2.18
H (0.0000, 0.5000, 0.5000)  2 Pu 2.11
H (0.3158, 0.3158, 0.0000)  1 Li 1.75
H (0.5000, 0.0000, 0.5000)  2 Pu 2.11
H (0.6842, 0.6842, 0.0000)  1 Li 1.75

=====

Copy entry 1 word for word.
Crystalline LiZr2HPt at its relaxed geometry. Source: Alexandria via LeMat-Bulk, functional GGA-PBE.

Symmetry: P4/mmm
Energy (eV per atom): -6.193
Calculated density (g/cm³): 8.56

Cell: 4.4355 4.4355 3.7994 Å, 90.00 90.00 90.00°
With the nearest neighbours (Å) after each atom.
Positions (direct):
Li (0.0000, 0.0000, 0.0000)  2 H 1.90
Zr (0.0000, 0.5000, 0.5000)  2 H 2.22
Zr (0.5000, 0.0000, 0.5000)  2 H 2.22
H (0.0000, 0.0000, 0.5000)  2 Li 1.90
Pt (0.5000, 0.5000, 0.0000)  8 Zr 2.92, 4 Li 3.14